[1]
# PBEsol CrTcMo2, optimized geometry
data_CrTcMo2
_symmetry_space_group_name_H-M 'P 1'
_symmetry_Int_Tables_number 1
_cell_length_a 2.657
_cell_length_b 5.016
_cell_length_c 5.016
_cell_angle_alpha 116.73
_cell_angle_beta 100.17
_cell_angle_gamma 100.17
loop_
_symmetry_equiv_pos_as_xyz
'x,y,z'
loop_
_atom_site_label
_atom_site_type_symbol
_atom_site_fract_x
_atom_site_fract_y
_atom_site_fract_z
Cr1 Cr 0.500 0.000 0.000
Mo1 Mo 0.000 0.000 0.500
Mo2 Mo 0.000 0.500 0.000
Tc1 Tc 0.500 0.500 0.500
# N(E_F): 3.9 states/eV/f.u.
# Excess energy over the best structure of this formula in the dataset: 0.183 eV/f.u.
# E_form: 0.108 eV per atom
# Raw total energy: -11.15 eV per atom
# Symmetry: C2/m (12)

=====

[2]
# PBEsol CrTcMo2, optimized geometry
data_CrTcMo2
_symmetry_space_group_name_H-M 'P 1'
_symmetry_Int_Tables_number 1
_cell_length_a 2.654
_cell_length_b 4.264
_cell_length_c 5.042
_cell_angle_alpha 90.00
_cell_angle_beta 100.28
_cell_angle_gamma 90.00
loop_
_symmetry_equiv_pos_as_xyz
'x,y,z'
loop_
_atom_site_label
_atom_site_type_symbol
_atom_site_fract_x
_atom_site_fract_y
_atom_site_fract_z
Cr1 Cr 0.000 0.500 0.500
Mo1 Mo 0.755 0.000 0.745
Mo2 Mo 0.245 0.000 0.255
Tc1 Tc 0.500 0.500 0.000
# N(E_F): 3.9 states/eV/f.u.
# Excess energy over the best structure of this formula in the dataset: 0.165 eV/f.u.
# E_form: 0.103 eV per atom
# Raw total energy: -11.16 eV per atom
# Symmetry: P2/m (10)

=====

[3]
# PBEsol CrTcMo2, optimized geometry
data_CrTcMo2
_symmetry_space_group_name_H-M 'P 1'
_symmetry_Int_Tables_number 1
_cell_length_a 2.654
_cell_length_b 4.272
_cell_length_c 5.034
_cell_angle_alpha 90.00
_cell_angle_beta 100.18
_cell_angle_gamma 90.00
loop_
_symmetry_equiv_pos_as_xyz
'x,y,z'
loop_
_atom_site_label
_atom_site_type_symbol
_atom_site_fract_x
_atom_site_fract_y
_atom_site_fract_z
Cr1 Cr 0.239 0.500 0.751
Mo1 Mo 0.999 0.000 0.991
Mo2 Mo 0.758 0.500 0.253
Tc1 Tc 0.504 0.000 0.505
# N(E_F): 4.0 states/eV/f.u.
# Excess energy over the best structure of this formula in the dataset: 0.165 eV/f.u.
# E_form: 0.103 eV per atom
# Raw total energy: -11.16 eV per atom
# Symmetry: Pm (6)

=====

[4]
# PBEsol CrTc2Mo, optimized geometry
data_CrTc2Mo
_symmetry_space_group_name_H-M 'P 1'
_symmetry_Int_Tables_number 1
_cell_length_a 3.014
_cell_length_b 4.270
_cell_length_c 4.992
_cell_angle_alpha 115.32
_cell_angle_beta 107.57
_cell_angle_gamma 90.00
loop_
_symmetry_equiv_pos_as_xyz
'x,y,z'
loop_
_atom_site_label
_atom_site_type_symbol
_atom_site_fract_x
_atom_site_fract_y
_atom_site_fract_z
Cr1 Cr 0.508 0.508 0.015
Mo1 Mo 0.238 0.738 0.476
Tc1 Tc 0.994 0.994 0.989
Tc2 Tc 0.760 0.260 0.520
# N(E_F): 3.8 states/eV/f.u.
# E_form: 0.098 eV per atom
# Raw total energy: -11.04 eV per atom
# Symmetry: Imm2 (44)

=====

[5]
# PBEsol CrTcMo2, optimized geometry
data_CrTcMo2
_symmetry_space_group_name_H-M 'P 1'
_symmetry_Int_Tables_number 1
_cell_length_a 3.024
_cell_length_b 3.024
_cell_length_c 6.109
_cell_angle_alpha 90.00
_cell_angle_beta 90.00
_cell_angle_gamma 90.00
loop_
_symmetry_equiv_pos_as_xyz
'x,y,z'
loop_
_atom_site_label
_atom_site_type_symbol
_atom_site_fract_x
_atom_site_fract_y
_atom_site_fract_z
Cr1 Cr 0.500 0.500 0.500
Mo1 Mo 0.000 0.000 0.736
Mo2 Mo 0.000 0.000 0.264
Tc1 Tc 0.500 0.500 0.000
# N(E_F): 3.0 states/eV/f.u.
# Excess energy over the best structure of this formula in the dataset: 0.000 eV/f.u.
# E_form: 0.062 eV per atom
# Raw total energy: -11.20 eV per atom
# Symmetry: P4/mmm (123)

=====

[6]
# PBEsol CrTc2Mo, optimized geometry
data_CrTc2Mo
_symmetry_space_group_name_H-M 'P 1'
_symmetry_Int_Tables_number 1
_cell_length_a 2.702
_cell_length_b 2.702
_cell_length_c 8.849
_cell_angle_alpha 81.22
_cell_angle_beta 81.22
_cell_angle_gamma 60.00
loop_
_symmetry_equiv_pos_as_xyz
'x,y,z'
loop_
_atom_site_label
_atom_site_type_symbol
_atom_site_fract_x
_atom_site_fract_y
_atom_site_fract_z
Cr1 Cr 0.500 0.500 0.500
Mo1 Mo 0.000 0.000 0.000
Tc1 Tc 0.245 0.245 0.266
Tc2 Tc 0.755 0.755 0.734
# N(E_F): 4.0 states/eV/f.u.
# E_form: 0.241 eV per atom
# Raw total energy: -10.89 eV per atom
# Symmetry: R-3m (166)

=====

Q: E_form of number 3 (CrTcMo2)?
A: 0.103 eV per atom

=====

Q: Look up the E_form of the fifth one.
A: 0.062 eV per atom

=====

Q: What is the formula in the fourth record?
A: CrTc2Mo

=====

Q: Which of these has the lowest raw total energy?
A: number 5